Computed, not measured: LiAsP2Cl after structural relaxation at the PBE-GGA level of DFT.

Output
The uncorrected energy is -3.52 eV/atom. As for the energy relative to the elements, uncorrected: 327 meV/atom. For the magnetic moment, the calculation gives 0.00 μB per cell. Its excess energy over the best structure of this formula in the dataset is 0.000 eV/atom.

a = 4.658 Å, b = 4.658 Å, c = 5.971 Å
α = 90.00°, β = 90.00°, γ = 90.00°
Atoms (fractional coordinates):
Li 0.000 0.000 0.000
As 0.500 0.500 0.500
P 0.000 0.500 0.500
P 0.500 0.000 0.500
Cl 0.500 0.500 0.000